Record 1
Below is a relaxed structure of Ba2NiPb, with properties calculated at the PBE level.

Calculated values
* total DFT energy (no corrections): -3.3479 eV per atom
* space-group type: R-3m (166)

POSCAR file:
```
Ba2NiPb
1.0
-3.573 -3.730 8.159
-4.747 -6.631 5.170
-0.764 -6.754 6.858
Ba Ni Pb
2 1 1
Direct
0.984 0.984 0.984
0.516 0.516 0.516
0.250 0.250 0.250
0.750 0.750 0.750
```



Record 2
Below is a relaxed structure of LaMg2Pb2, with properties calculated at the PBE level.

Calculated values
* total DFT energy (no corrections): -3.3191 eV per atom
* ΔE to the lowest computed polymorph: 0.120 eV/atom
* space-group type: P4/mbm (127)

POSCAR file:
```
LaMg2Pb2
1.0
-3.124 3.336 7.605
-5.860 -6.643 0.507
2.374 -1.954 1.832
Pb Mg La
4 4 2
Direct
0.349 0.849 0.000
0.849 0.651 0.000
0.651 0.151 0.000
0.151 0.349 0.000
0.144 0.644 0.500
0.644 0.856 0.500
0.856 0.356 0.500
0.356 0.144 0.500
0.000 0.000 0.000
0.500 0.500 0.000
```



Record 3
Below is a relaxed structure of Sb2Te, with properties calculated at the PBE level.

Calculated values
* total DFT energy (no corrections): -3.5353 eV per atom
* ΔE to the lowest computed polymorph: 0.326 eV/atom
* space-group type: I4_1/amd (141)

POSCAR file:
```
Sb2Te
1.0
-9.842 1.492 4.408
-9.046 6.024 0.625
8.220 -5.369 -4.703
Sb Te
4 2
Direct
0.572 0.572 0.000
0.178 0.678 0.500
0.428 0.428 0.000
0.322 0.822 0.500
0.000 0.000 0.000
0.750 0.250 0.500
```



Record 4
Below is a relaxed structure of Hg3GeAu3, with properties calculated at the PBE level.

Calculated values
* total DFT energy (no corrections): -2.0806 eV per atom
* space-group type: Pnnm (58)

POSCAR file:
```
Hg3GeAu3
1.0
-1.950 4.583 2.211
0.809 -4.344 9.718
10.300 3.946 0.906
Hg Ge Au
12 4 12
Direct
0.000 0.128 0.580
0.500 0.125 0.331
0.500 0.129 0.957
0.000 0.371 0.457
0.000 0.375 0.831
0.500 0.372 0.080
0.500 0.628 0.920
0.000 0.625 0.169
0.000 0.629 0.543
0.500 0.871 0.043
0.500 0.875 0.669
0.000 0.872 0.420
0.000 0.140 0.074
0.500 0.360 0.574
0.500 0.640 0.426
0.000 0.860 0.926
0.000 0.099 0.839
0.000 0.122 0.319
0.500 0.143 0.684
0.000 0.357 0.184
0.500 0.378 0.819
0.500 0.401 0.339
0.500 0.599 0.661
0.500 0.622 0.181
0.000 0.643 0.816
0.500 0.857 0.316
0.000 0.878 0.681
0.000 0.901 0.161
```



- Among the records above, which one has the lowest total DFT energy (no corrections)?
  Sb2Te



- total DFT energy (no corrections) of number 3 (Sb2Te)?
  -3.5353 eV per atom



- Look up the total DFT energy (no corrections) of the second one.
  -3.3191 eV per atom